# PBE TlF5, optimized geometry
data_TlF5
_cell_length_a 3.5004
_cell_length_b 9.5992
_cell_length_c 4.6068
_cell_angle_alpha 90.00
_cell_angle_beta 90.00
_cell_angle_gamma 90.00
_space_group_name_H-M_alt 'C m m m'
_space_group_IT_number 65
_space_group_name_Hall '-C 2 2'
loop_
_atom_site_label
_atom_site_fract_x
_atom_site_fract_y
_atom_site_fract_z
_atom_site_occupancy
Tl1 0.0000 0.0000 0.0000 1
F1 0.0000 0.1330 0.5000 1
F2 0.0000 0.3612 0.0000 1
F3 0.0000 0.5000 0.5000 1
# Energy relative to the elements, uncorrected, kJ/mol of formula units: -530
# V, Å³/atom: 12.90